No. 1
This record from Alexandria via LeMat-Bulk describes an optimized crystal structure of LiNi3Ir. The functional is PBE.

```
data_LiNi3Ir
_symmetry_space_group_name_H-M 'P -1'
_symmetry_Int_Tables_number 2
_cell_length_a 2.5562
_cell_length_b 5.0202
_cell_length_c 9.3828
_cell_angle_alpha 82.36
_cell_angle_beta 82.18
_cell_angle_gamma 89.98
loop_
_symmetry_equiv_pos_as_xyz
'x,y,z'
'-x,-y,-z'
loop_
_atom_site_label
_atom_site_fract_x
_atom_site_fract_y
_atom_site_fract_z
Li1 0.1031 0.0488 0.2957
Ni1 0.2959 0.1521 0.9084
Ni2 0.2987 0.6493 0.9032
Ni3 0.4994 0.7443 0.5000
Ir1 0.1029 0.5497 0.2945
```

Properties
E (eV per atom): -5.66
D(E_F) (states/eV/f.u.): 6.75

---

No. 2
This record from Alexandria via LeMat-Bulk describes an optimized crystal structure of Li2NiIr. The functional is PBE.

```
data_Li2NiIr
_symmetry_space_group_name_H-M 'P 4/m m m'
_symmetry_Int_Tables_number 123
_symmetry_space_group_name_Hall '-P 4 2'
_cell_length_a 3.5186
_cell_length_b 3.5186
_cell_length_c 4.0813
_cell_angle_alpha 90.00
_cell_angle_beta 90.00
_cell_angle_gamma 90.00
loop_
_atom_site_label
_atom_site_fract_x
_atom_site_fract_y
_atom_site_fract_z
Li1 0.0000 0.5000 0.0000
Ni1 0.0000 0.0000 0.5000
Ir1 0.5000 0.5000 0.5000
```

Properties
E (eV per atom): -4.62
D(E_F) (states/eV/f.u.): 4.14

---

No. 3
This record from Alexandria via LeMat-Bulk describes an optimized crystal structure of LiNi4Ir. The functional is PBE.

```
data_LiNi4Ir
_symmetry_space_group_name_H-M 'C 1 2/m 1'
_symmetry_Int_Tables_number 12
_cell_length_a 4.3641
_cell_length_b 7.6425
_cell_length_c 4.3858
_cell_angle_alpha 90.00
_cell_angle_beta 109.19
_cell_angle_gamma 90.00
loop_
_symmetry_equiv_pos_as_xyz
'x,y,z'
'-x,-y,-z'
'-x,y,-z'
'x,-y,z'
'x+1/2,y+1/2,z'
'-x+1/2,-y+1/2,-z'
'-x+1/2,y+1/2,-z'
'x+1/2,-y+1/2,z'
loop_
_atom_site_label
_atom_site_fract_x
_atom_site_fract_y
_atom_site_fract_z
Li1 0.0000 0.0000 0.0000
Ni1 0.0000 0.1698 0.5000
Ni2 0.0000 0.3353 0.0000
Ir1 0.0000 0.5000 0.5000
```

Properties
E (eV per atom): -5.69
D(E_F) (states/eV/f.u.): 8.22

---

Which of these has the highest E?
Li2NiIr